[1]
Below is a geometry-optimized NbTcGe structure, with properties calculated at the PBE level.

abc: 2.775 2.775 14.031
angles: 90.00 90.00 90.00
Space group I4mm (No. 107)
Symmetry-distinct sites (fractional):
Nb (0.000, 0.000, 0.000) (multiplicity 2)
Tc (0.000, 0.000, 0.180) (multiplicity 2)
Ge (0.000, 0.000, 0.807) (multiplicity 2)

Summary:
Magnetization, μB per cell: 0.0
Energy relative to the elements, meV per atom: 549
Relative energy among the computed polymorphs, eV/atom: 0.944
V, Å³/f.u.: 54.04


[2]
Below is a geometry-optimized Nb3TcGe4 structure, with properties calculated at the PBE level.

abc: 5.585 9.446 5.279
angles: 90.00 90.00 90.00
Space group Pmn2_1 (No. 31)
Symmetry-distinct sites (fractional):
Nb (0.000, 0.123, 0.000) (multiplicity 2)
Nb (0.235, 0.363, 0.566) (multiplicity 4)
Tc (0.000, 0.865, 0.752) (multiplicity 2)
Ge (0.000, 0.097, 0.496) (multiplicity 2)
Ge (0.000, 0.856, 0.249) (multiplicity 2)
Ge (0.243, 0.641, 0.571) (multiplicity 4)

Summary:
Magnetization, μB per cell: 0.0
Energy relative to the elements, meV per atom: 35
V, Å³/f.u.: 139.25


[3]
Below is a geometry-optimized NbTcGe structure, with properties calculated at the PBE level.

abc: 9.781 3.217 6.365
angles: 90.00 104.32 90.00
Space group Cm (No. 8)
Symmetry-distinct sites (fractional):
Nb (0.000, 0.000, 0.000) (multiplicity 2)
Nb (0.222, 0.500, 0.327) (multiplicity 2)
Tc (0.148, 0.500, 0.754) (multiplicity 2)
Tc (0.357, 0.000, 0.653) (multiplicity 2)
Ge (0.016, 0.000, 0.449) (multiplicity 2)
Ge (0.290, 0.000, 0.035) (multiplicity 2)

Summary:
Magnetization, μB per cell: 0.0
Energy relative to the elements, meV per atom: -257
Relative energy among the computed polymorphs, eV/atom: 0.138
V, Å³/f.u.: 48.51


[4]
Below is a geometry-optimized NbTcGe2 structure, with properties calculated at the PBE level.

abc: 3.085 3.085 6.572
angles: 90.00 90.00 90.00
Space group P4/mmm (No. 123)
Symmetry-distinct sites (fractional):
Nb (0.000, 0.000, 0.000) (multiplicity 1)
Tc (0.000, 0.000, 0.500) (multiplicity 1)
Ge (0.500, 0.500, 0.278) (multiplicity 2)

Summary:
Magnetization, μB per cell: 0.0
Energy relative to the elements, meV per atom: -135
Relative energy among the computed polymorphs, eV/atom: 0.000
V, Å³/f.u.: 62.56


[5]
Below is a geometry-optimized NbTc2Ge structure, with properties calculated at the PBE level.

abc: 6.851 6.851 5.748
angles: 90.00 90.00 90.00
Space group I-42d (No. 122)
Symmetry-distinct sites (fractional):
Nb (0.000, 0.000, 0.000) (multiplicity 4)
Tc (0.225, 0.250, 0.625) (multiplicity 8)
Ge (0.000, 0.000, 0.500) (multiplicity 4)

Summary:
Magnetization, μB per cell: 0.0
Energy relative to the elements, meV per atom: 527
V, Å³/f.u.: 67.45


[6]
Below is a geometry-optimized NbTc3Ge structure, with properties calculated at the PBE level.

abc: 4.486 4.486 4.486
angles: 90.00 90.00 90.00
Space group Pm-3m (No. 221)
Symmetry-distinct sites (fractional):
Nb (0.000, 0.000, 0.000) (multiplicity 1)
Tc (0.000, 0.500, 0.500) (multiplicity 3)
Ge (0.500, 0.500, 0.500) (multiplicity 1)

Summary:
Magnetization, μB per cell: 0.0
Energy relative to the elements, meV per atom: 1014
Relative energy among the computed polymorphs, eV/atom: 0.000
V, Å³/f.u.: 90.26


[7]
Below is a geometry-optimized Nb2TcGe4 structure, with properties calculated at the PBE level.

abc: 14.970 3.140 5.605
angles: 90.00 110.38 90.00
Space group C2/m (No. 12)
Symmetry-distinct sites (fractional):
Nb (0.239, 0.000, 0.240) (multiplicity 4)
Tc (0.000, 0.000, 0.000) (multiplicity 2)
Ge (0.102, 0.500, 0.332) (multiplicity 4)
Ge (0.113, 0.000, 0.766) (multiplicity 4)

Summary:
Magnetization, μB per cell: 0.0
Energy relative to the elements, meV per atom: -86
Relative energy among the computed polymorphs, eV/atom: 0.000
V, Å³/f.u.: 123.50


[8]
Below is a geometry-optimized NbTc2Ge structure, with properties calculated at the PBE level.

abc: 4.346 4.346 3.236
angles: 90.00 90.00 90.00
Space group P4/mmm (No. 123)
Symmetry-distinct sites (fractional):
Nb (0.000, 0.000, 0.000) (multiplicity 1)
Tc (0.000, 0.500, 0.500) (multiplicity 2)
Ge (0.500, 0.500, 0.000) (multiplicity 1)

Summary:
Magnetization, μB per cell: 0.0
Energy relative to the elements, meV per atom: -231
V, Å³/f.u.: 61.12


> Which formula does entry 6 have?

NbTc3Ge


> What is the energy relative to the elements in the eighth record?

-231 meV per atom


> What is the formula in the eighth record?

NbTc2Ge